## AlCuAg2O (GGA-PBE)

Data for an optimized crystal structure of AlCuAg2O.

Structure (POSCAR):
```
AlCuAg2O
1.0
-1.082 -4.552 -0.870
4.317 -1.150 0.645
-0.872 -0.677 4.629
Al O Ag Cu
1 1 2 1
Direct
0.000 0.500 0.000
0.500 0.500 0.500
0.500 0.000 0.000
0.000 0.000 0.500
0.000 0.000 0.000
```

Calculated values
**SG**: P4/mmm, No. 123
**DFT total energy**: -0.212 Ry per atom
**Formation energy (no corrections)**: 391 kJ/mol of formula units

## PaAl2Cu2Ag (GGA-PBE)

Data for an optimized crystal structure of PaAl2Cu2Ag.

Structure (POSCAR):
```
PaAl2Cu2Ag
1.0
-2.689 3.118 -0.986
-0.847 -3.977 -1.179
-3.285 -1.010 5.765
Cu Al Ag Pa
2 2 1 1
Direct
0.333 0.667 0.267
0.667 0.333 0.733
0.333 0.667 0.691
0.667 0.333 0.309
0.000 0.000 0.500
0.000 0.000 0.000
```

Calculated values
**SG**: P-3m1, No. 164
**Calculated formation energy**: -0.13 eV/atom
**DFT total energy**: -0.353 Ry per atom

## Pm2Al3Cu4Ag (GGA-PBE)

Data for an optimized crystal structure of Pm2Al3Cu4Ag.

Structure (POSCAR):
```
Pm2Al3Cu4Ag
1.0
4.198 0.000 0.000
0.000 4.198 0.000
0.000 0.000 10.497
Al Cu Ag Pm
3 4 1 2
Direct
0.000 0.000 0.500
0.500 0.000 0.878
0.000 0.500 0.122
0.500 0.000 0.646
0.000 0.000 0.000
0.500 0.500 0.000
0.000 0.500 0.354
0.500 0.500 0.500
0.000 0.500 0.761
0.500 0.000 0.239
```

Calculated values
**SG**: P-4m2, No. 115
**Calculated formation energy**: -0.31 eV/atom
**DFT total energy**: -0.316 Ry per atom

## Pm2Al3Cu12Ag (GGA-PBE)

Data for an optimized crystal structure of Pm2Al3Cu12Ag.

Structure (POSCAR):
```
Pm2Al3Cu12Ag
1.0
9.932 2.292 1.625
6.897 7.504 1.625
6.897 4.015 6.545
Cu Pm Ag Al
12 2 1 3
Direct
0.584 0.584 0.189
0.584 0.189 0.584
0.117 0.117 0.571
0.117 0.571 0.117
0.416 0.811 0.416
0.416 0.416 0.811
0.189 0.584 0.584
0.571 0.117 0.117
0.811 0.416 0.416
0.429 0.883 0.883
0.883 0.429 0.883
0.883 0.883 0.429
0.642 0.642 0.642
0.358 0.358 0.358
0.000 0.000 0.000
0.000 0.500 0.000
0.000 0.000 0.500
0.500 0.000 0.000
```

Calculated values
**SG**: R-3m, No. 166
**Calculated formation energy**: 0.11 eV/atom
**DFT total energy**: -0.289 Ry per atom

## PmAlCuAg (GGA-PBE)

Data for an optimized crystal structure of PmAlCuAg.

Structure (POSCAR):
```
PmAlCuAg
1.0
-0.218 -1.861 -4.423
-3.807 -2.614 -1.320
-3.129 1.756 -3.193
Ag Cu Al Pm
1 1 1 1
Direct
0.750 0.750 0.750
0.250 0.250 0.250
0.000 0.000 0.000
0.500 0.500 0.500
```

Calculated values
**SG**: F-43m, No. 216
**Calculated formation energy**: -0.27 eV/atom
**DFT total energy**: -0.304 Ry per atom

## Pm2Al4Cu3Ag (GGA-PBE)

Data for an optimized crystal structure of Pm2Al4Cu3Ag.

Structure (POSCAR):
```
Pm2Al4Cu3Ag
1.0
4.245 0.000 0.000
0.000 4.245 0.000
0.000 0.000 10.370
Pm Al Cu Ag
2 4 3 1
Direct
0.000 0.500 0.755
0.500 0.000 0.245
0.500 0.500 0.000
0.500 0.000 0.640
0.000 0.000 0.000
0.000 0.500 0.360
0.500 0.000 0.873
0.000 0.500 0.127
0.000 0.000 0.500
0.500 0.500 0.500
```

Calculated values
**SG**: P-4m2, No. 115
**Calculated formation energy**: -0.39 eV/atom
**DFT total energy**: -0.320 Ry per atom

## PrAlCuAg (GGA-PBE)

Data for an optimized crystal structure of PrAlCuAg.

Structure (POSCAR):
```
PrAlCuAg
1.0
4.856 0.000 0.000
2.428 4.205 0.000
2.428 1.402 3.965
Al Pr Cu Ag
1 1 1 1
Direct
0.500 0.500 0.500
0.000 0.000 0.000
0.250 0.250 0.250
0.750 0.750 0.750
```

Calculated values
**SG**: F-43m, No. 216
**Calculated formation energy**: -0.24 eV/atom
**DFT total energy**: -0.302 Ry per atom

## Pr2Al3Cu12Ag (GGA-PBE)

Data for an optimized crystal structure of Pr2Al3Cu12Ag.

Structure (POSCAR):
```
Pr2Al3Cu12Ag
1.0
-8.337 -1.590 5.538
-3.843 -4.897 7.997
-4.215 1.079 9.152
Cu Al Pr Ag
12 3 2 1
Direct
0.927 0.927 0.364
0.418 0.418 0.811
0.582 0.189 0.582
0.364 0.927 0.927
0.636 0.073 0.073
0.582 0.582 0.189
0.418 0.811 0.418
0.927 0.364 0.927
0.073 0.073 0.636
0.811 0.418 0.418
0.073 0.636 0.073
0.189 0.582 0.582
0.500 0.000 0.000
0.000 0.500 0.000
0.000 0.000 0.500
0.352 0.352 0.352
0.648 0.648 0.648
0.000 0.000 0.000
```

Calculated values
**SG**: R-3m, No. 166
**Calculated formation energy**: 0.11 eV/atom
**DFT total energy**: -0.289 Ry per atom

Short version: magnetization = 0.000 0.000 0.000 0.000 0.000 0.000 0.000 0.000 μB/atom, in the order given.
Short version: calculated density = 5.2 8.3 6.6 6.7 7.3 6.2 7.0 6.7 g/cm³, in the order given.
Short version: DOS(E_F) = 1.65 5.03 6.16 6.64 2.46 5.85 2.52 6.60 states/eV per cell, in the order given.